This record from OQMD via LeMat-Bulk describes a relaxed CoPbSeO crystal. The functional is PBE with a Hubbard U.

Summary:
* M_tot: 3.000 μB/f.u.
* energy above the most stable polymorph in this dataset: 118 meV per atom
* electronic total energy: -0.180 hartree per atom

POSCAR file:
```
CoPbSeO
1.0
-5.8789 2.9090 -0.0934
-0.8998 -2.0287 -6.5480
-3.0205 -6.0310 2.2836
Se O Co Pb
4 4 4 4
Cartesian
-8.4813 -4.0555 -2.0129
-2.5718 -3.5325 0.6631
-5.1445 -1.4119 -1.7210
-3.4009 -1.3015 -5.6450
-5.5941 2.1894 -0.6367
-5.6791 -5.3738 -0.4777
-5.9011 -3.4026 -4.7080
-2.4243 -3.7144 -2.8933
-4.0087 -7.1249 -3.9932
-4.1790 -0.0602 -3.6059
-7.6155 -1.7507 -1.5125
-3.7953 -1.3656 0.3959
-6.9880 -1.3060 -4.8988
-6.3606 -3.6078 0.9553
-1.4954 -1.2674 -2.0154
-4.7545 -4.1201 -2.7568
```